A plane-wave DFT calculation with PBE was carried out for a geometry-optimized Si2BiW2 structure.

Cell: 7.658 7.658 2.951 Å, 90.00 90.00 90.00°
Atoms (fractional coordinates):
Si (0.136, 0.364, 0.000)
Si (0.364, 0.864, 0.000)
Si (0.636, 0.136, 0.000)
Si (0.864, 0.636, 0.000)
Bi (0.000, 0.000, 0.000)
Bi (0.500, 0.500, 0.000)
W (0.148, 0.648, 0.500)
W (0.352, 0.148, 0.500)
W (0.648, 0.852, 0.500)
W (0.852, 0.352, 0.500)

Computed properties:
- Total energy: -7.65 eV/atom
- Distance to the lowest polymorph of the same formula: 4.3 kJ per mole of atoms
- Total magnetic moment: 0.000 μB per atom